(1)
# Ba6Ag2IrAu GGA-PBE optimized geometry
# Calculated volume   42.4 Å³ per atom
# Final energy   -3.24 eV per atom
# Energy relative to the elements   -304 meV per atom
data_Ba6Ag2IrAu
_symmetry_space_group_name_H-M 'P 1 21/c 1'
_symmetry_Int_Tables_number 14
_symmetry_space_group_name_Hall '-P 2ybc'
_cell_length_a 7.987
_cell_length_b 8.907
_cell_length_c 14.165
_cell_angle_alpha 90.00
_cell_angle_beta 122.80
_cell_angle_gamma 90.00
loop_
_atom_site_label
_atom_site_type_symbol
_atom_site_fract_x
_atom_site_fract_y
_atom_site_fract_z
Ba1 Ba 0.103 0.041 0.241
Ba2 Ba 0.228 0.696 0.066
Ba3 Ba 0.378 0.173 0.061
Ag1 Ag 0.306 0.107 0.754
Ir1 Ir 0.000 0.000 0.000
Au1 Au 0.500 0.000 0.500

=====

(2)
# ScCo2Hg GGA-PBE optimized geometry
# Calculated volume   16.0 Å³ per atom
# Final energy   -5.23 eV per atom
# Energy relative to the elements   -22 meV per atom
data_ScCo2Hg
_symmetry_space_group_name_H-M 'P 4 m m'
_symmetry_Int_Tables_number 99
_symmetry_space_group_name_Hall 'P 4 -2'
_cell_length_a 3.120
_cell_length_b 3.120
_cell_length_c 6.591
_cell_angle_alpha 90.00
_cell_angle_beta 90.00
_cell_angle_gamma 90.00
loop_
_atom_site_label
_atom_site_type_symbol
_atom_site_fract_x
_atom_site_fract_y
_atom_site_fract_z
Sc1 Sc 0.000 0.000 0.000
Co1 Co 0.000 0.000 0.407
Co2 Co 0.500 0.500 0.248
Hg1 Hg 0.500 0.500 0.676

=====

(3)
# PmZrAgGe GGA-PBE optimized geometry
# Calculated volume   22.2 Å³ per atom
# Final energy   -5.53 eV per atom
# Energy relative to the elements   -338 meV per atom
data_PmZrAgGe
_symmetry_space_group_name_H-M 'F -4 3 m'
_symmetry_Int_Tables_number 216
_symmetry_space_group_name_Hall 'F -4 2 3'
_cell_length_a 7.077
_cell_length_b 7.077
_cell_length_c 7.077
_cell_angle_alpha 90.00
_cell_angle_beta 90.00
_cell_angle_gamma 90.00
loop_
_atom_site_label
_atom_site_type_symbol
_atom_site_fract_x
_atom_site_fract_y
_atom_site_fract_z
Pm1 Pm 0.000 0.000 0.000
Zr1 Zr 0.000 0.000 0.500
Ag1 Ag 0.250 0.250 0.750
Ge1 Ge 0.250 0.250 0.250

=====

(4)
# Pr12Dy7Er GGA-PBE optimized geometry
# Calculated volume   34.8 Å³ per atom
# Distance to the lowest polymorph of the same formula   7 meV/atom
# Final energy   -4.48 eV per atom
# Energy relative to the elements   225 meV per atom
data_Pr12Dy7Er
_symmetry_space_group_name_H-M 'R -3'
_symmetry_Int_Tables_number 148
_symmetry_space_group_name_Hall '-R 3'
_cell_length_a 12.3703
_cell_length_b 12.3703
_cell_length_c 15.7781
_cell_angle_alpha 90.00
_cell_angle_beta 90.00
_cell_angle_gamma 120.00
loop_
_atom_site_label
_atom_site_type_symbol
_atom_site_fract_x
_atom_site_fract_y
_atom_site_fract_z
Pr1 Pr 0.0212 0.5746 0.2210
Pr2 Pr 0.0616 0.4694 0.5793
Dy1 Dy 0.0000 0.0000 0.0000
Dy2 Dy 0.0544 0.8681 0.3009
Er1 Er 0.0000 0.0000 0.5000